*A*
Computed, not measured: a relaxed structure of BaAu3Se at the PBE level of DFT.

Geometry as CIF:
```
data_BaAu3Se
_symmetry_space_group_name_H-M 'P 1'
_symmetry_Int_Tables_number 1
_cell_length_a 6.119
_cell_length_b 6.119
_cell_length_c 6.119
_cell_angle_alpha 90.00
_cell_angle_beta 90.00
_cell_angle_gamma 90.00
loop_
_symmetry_equiv_pos_as_xyz
'x,y,z'
loop_
_atom_site_label
_atom_site_type_symbol
_atom_site_fract_x
_atom_site_fract_y
_atom_site_fract_z
_atom_site_occupancy
Ba1 Ba 0.000 0.000 0.000 1
Au1 Au 0.000 0.000 0.500 1
Au2 Au 0.000 0.500 0.000 1
Au3 Au 0.500 0.000 0.000 1
Se1 Se 0.500 0.500 0.500 1
```

Its crystal system is cubic. The value obtained for the volume is 229.1 Å³/f.u.

*B*
Computed, not measured: a relaxed structure of BaAu3Se at the PBE level of DFT.

Geometry as CIF:
```
data_BaAu3Se
_symmetry_space_group_name_H-M 'P 1'
_symmetry_Int_Tables_number 1
_cell_length_a 5.200
_cell_length_b 5.200
_cell_length_c 5.200
_cell_angle_alpha 90.00
_cell_angle_beta 90.00
_cell_angle_gamma 90.00
loop_
_symmetry_equiv_pos_as_xyz
'x,y,z'
loop_
_atom_site_label
_atom_site_type_symbol
_atom_site_fract_x
_atom_site_fract_y
_atom_site_fract_z
_atom_site_occupancy
Ba1 Ba 0.000 0.000 0.000 1
Au1 Au 0.000 0.500 0.500 1
Au2 Au 0.500 0.000 0.500 1
Au3 Au 0.500 0.500 0.000 1
Se1 Se 0.500 0.500 0.500 1
```

Its crystal system is cubic. The value obtained for the volume is 140.6 Å³/f.u.

Least stable structure among those shown: *A*.